BeSiOs2: relaxed, PBEsol.

a = 4.615 Å, b = 4.615 Å, c = 4.615 Å
α = 143.83°, β = 119.82°, γ = 72.27°
Fractional positions:
1 Be 0.000 0.000 0.000
2 Si 0.500 0.500 0.000
3 Os 0.233 0.733 0.500
4 Os 0.767 0.267 0.500

total DFT energy (no corrections)	-34.1	eV per cell
SG	No. 71